# NaHg3S PBE optimized geometry
# Total magnetic moment   0.212 μB/atom
# Fermi-level density of states   5.3 states/eV/f.u.
# ΔE_f (raw)   390 meV/atom
# ΔE to the lowest computed polymorph   108.5 kJ/mol of formula units
data_NaHg3S
_chemical_formula_sum 'Na1 Hg3 S1'
_space_group_name_H-M_alt 'P m -3 m'
_space_group_IT_number 221
_space_group_name_Hall '-P 4 2 3'
_cell_length_a 5.689
_cell_length_b 5.689
_cell_length_c 5.689
_cell_angle_alpha 90.00
_cell_angle_beta 90.00
_cell_angle_gamma 90.00
loop_
_atom_site_label
_atom_site_type_symbol
_atom_site_fract_x
_atom_site_fract_y
_atom_site_fract_z
Na1 Na 0.000 0.000 0.000
Hg1 Hg 0.000 0.000 0.500
S1 S 0.500 0.500 0.500